[1]
# Pa2ZnRe, optimized geometry, DFT GGA-PBE
# ρ (g/cm3): 14.6
# Crystal system: tetragonal
data_Pa2ZnRe
_space_group_name_H-M_alt 'P 1'
_space_group_IT_number 1
_space_group_name_Hall 'P 1'
_cell_length_a 4.092
_cell_length_b 4.452
_cell_length_c 4.452
_cell_angle_alpha 90.00
_cell_angle_beta 90.00
_cell_angle_gamma 90.00
loop_
_atom_site_label
_atom_site_fract_x
_atom_site_fract_y
_atom_site_fract_z
Re1 0.500 0.500 0.500
Zn1 0.500 0.000 0.000
Pa1 0.000 0.000 0.500
Pa2 0.000 0.500 0.000



[2]
# Pa2ZnRe, optimized geometry, DFT GGA-PBE
# ρ (g/cm3): 14.1
# Crystal system: cubic
data_Pa2ZnRe
_space_group_name_H-M_alt 'P 1'
_space_group_IT_number 1
_space_group_name_Hall 'P 1'
_cell_length_a 4.922
_cell_length_b 4.922
_cell_length_c 4.922
_cell_angle_alpha 60.00
_cell_angle_beta 60.00
_cell_angle_gamma 60.00
loop_
_atom_site_label
_atom_site_fract_x
_atom_site_fract_y
_atom_site_fract_z
Re1 0.500 0.500 0.500
Zn1 0.000 0.000 0.000
Pa1 0.250 0.250 0.250
Pa2 0.750 0.750 0.750



[3]
# Pa2ZnRe, optimized geometry, DFT GGA-PBE
# ρ (g/cm3): 13.3
# Crystal system: trigonal
data_Pa2ZnRe
_space_group_name_H-M_alt 'P 1'
_space_group_IT_number 1
_space_group_name_Hall 'P 1'
_cell_length_a 3.079
_cell_length_b 3.079
_cell_length_c 11.003
_cell_angle_alpha 81.96
_cell_angle_beta 81.96
_cell_angle_gamma 60.00
loop_
_atom_site_label
_atom_site_fract_x
_atom_site_fract_y
_atom_site_fract_z
Re1 0.500 0.500 0.500
Zn1 0.000 0.000 0.000
Pa1 0.095 0.095 0.714
Pa2 0.905 0.905 0.286



[4]
# ZrPaRe, optimized geometry, DFT GGA-PBE
# ρ (g/cm3): 13.4
# Crystal system: tetragonal
data_ZrPaRe
_space_group_name_H-M_alt 'P 1'
_space_group_IT_number 1
_space_group_name_Hall 'P 1'
_cell_length_a 3.427
_cell_length_b 3.427
_cell_length_c 5.898
_cell_angle_alpha 106.89
_cell_angle_beta 106.89
_cell_angle_gamma 90.00
loop_
_atom_site_label
_atom_site_fract_x
_atom_site_fract_y
_atom_site_fract_z
Re1 0.670 0.670 0.340
Pa1 0.317 0.317 0.634
Zr1 0.013 0.013 0.025



no.,ΔE_f (eV/atom),size of the total moment (μB/cell)
1,0.01,0.0
2,0.05,0.0
3,0.38,0.0
4,-0.04,0.0